w | Here is crystalline AlB3S at its relaxed geometry from Alexandria via LeMat-Bulk. Energies are from PBE.

a = 3.8372 Å, b = 3.8372 Å, c = 3.8372 Å
α = 90.00°, β = 90.00°, γ = 90.00°
Fractional positions:
Al: 0.0000 0.0000 0.0000
B: 0.0000 0.5000 0.5000
B: 0.5000 0.0000 0.5000
B: 0.5000 0.5000 0.0000
S: 0.5000 0.5000 0.5000

Computed properties:
Total magnetization in μB/f.u.: 0.0
Space group: Pm-3m



x | Here is crystalline AlB3S at its relaxed geometry from Alexandria via LeMat-Bulk. Energies are from PBE.

a = 4.2107 Å, b = 4.2107 Å, c = 4.2107 Å
α = 90.00°, β = 90.00°, γ = 90.00°
Fractional positions:
Al: 0.0000 0.0000 0.0000
B: 0.0000 0.0000 0.5000
B: 0.0000 0.5000 0.0000
B: 0.5000 0.0000 0.0000
S: 0.5000 0.5000 0.5000

Computed properties:
Total magnetization in μB/f.u.: 0.0
Space group: Pm-3m



Name the least stable of them. x.



w | Here is crystalline Al3BS at its relaxed geometry from Alexandria via LeMat-Bulk. Energies are from PBE.

a = 4.2578 Å, b = 4.2578 Å, c = 4.2578 Å
α = 90.00°, β = 90.00°, γ = 90.00°
Fractional positions:
Al: 0.0000 0.0000 0.5000
Al: 0.0000 0.5000 0.0000
Al: 0.5000 0.0000 0.0000
B: 0.0000 0.0000 0.0000
S: 0.5000 0.5000 0.5000

Computed properties:
Total magnetization in μB/f.u.: 0.0
Space group: Pm-3m



x | Here is crystalline Al3BS at its relaxed geometry from Alexandria via LeMat-Bulk. Energies are from PBE.

a = 4.5946 Å, b = 4.5946 Å, c = 4.5946 Å
α = 90.00°, β = 90.00°, γ = 90.00°
Fractional positions:
Al: 0.0000 0.0000 0.5000
Al: 0.0000 0.5000 0.0000
Al: 0.5000 0.0000 0.0000
B: 0.5000 0.5000 0.5000
S: 0.0000 0.0000 0.0000

Computed properties:
Total magnetization in μB/f.u.: 0.0
Space group: Pm-3m



Name the least stable of them. x.